Ag3Sb | meta-GGA SCAN | PBEsol geometry

Lattice parameters (Å, degrees): 3.0896 9.3437 5.2032 90.00 90.00 90.00
Space group Imm2 (No. 44)
Unique sites:
Ag 0.0000 0.0000 0.0000
Ag 0.0000 0.2552 0.6696
Sb 0.0000 0.5000 0.0041

- formation energy (no corrections) (eV per atom) = 0.09
- total moment (μB/atom) = 0.00

---

Ag3Sb | meta-GGA SCAN | PBEsol geometry

Lattice parameters (Å, degrees): 6.0149 6.0149 4.7437 90.00 90.00 120.00
Space group P6_3/mmc (No. 194)
Unique sites:
Ag 0.1613 0.3226 0.2500
Sb 0.3333 0.6667 0.7500

- formation energy (no corrections) (eV per atom) = 0.03
- total moment (μB/atom) = 0.00

---

Ag3Sb | meta-GGA SCAN | PBEsol geometry

Lattice parameters (Å, degrees): 3.1032 4.0733 5.9161 90.00 90.00 90.00
Space group Pmmm (No. 47)
Unique sites:
Ag 0.0000 0.0000 0.0000
Ag 0.5000 0.5000 0.2363
Sb 0.0000 0.0000 0.5000

- formation energy (no corrections) (eV per atom) = 0.08
- total moment (μB/atom) = 0.00

---

AgSb5 | meta-GGA SCAN | PBEsol geometry

Lattice parameters (Å, degrees): 4.2306 12.7295 5.9654 90.00 90.00 90.00
Space group Cmmm (No. 65)
Unique sites:
Ag 0.0000 0.0000 0.0000
Sb 0.0000 0.0000 0.5000
Sb 0.0000 0.3327 0.5000
Sb 0.0000 0.3369 0.0000

- formation energy (no corrections) (eV per atom) = 0.08
- total moment (μB/atom) = 0.00
- energy above the most stable polymorph in this dataset (eV/atom) = 0.000

---

AgSb3 | meta-GGA SCAN | PBEsol geometry

Lattice parameters (Å, degrees): 3.1884 3.8668 7.7486 90.00 90.00 90.00
Space group Pmmm (No. 47)
Unique sites:
Ag 0.0000 0.0000 0.0000
Sb 0.0000 0.0000 0.5000
Sb 0.5000 0.5000 0.2224

- formation energy (no corrections) (eV per atom) = 0.26
- total moment (μB/atom) = 0.00
- energy above the most stable polymorph in this dataset (eV/atom) = 0.187

---

ScAgSb | meta-GGA SCAN | PBEsol geometry

Lattice parameters (Å, degrees): 3.3325 3.9945 9.4253 90.00 90.00 90.00
Space group Imm2 (No. 44)
Unique sites:
Sc 0.0000 0.0000 0.0000
Ag 0.0000 0.0000 0.6629
Sb 0.0000 0.0000 0.3337

- formation energy (no corrections) (eV per atom) = -0.32
- total moment (μB/atom) = 0.00

---

ScAg2Sb | meta-GGA SCAN | PBEsol geometry

Lattice parameters (Å, degrees): 3.2525 3.2525 27.3482 90.00 90.00 120.00
Space group R-3m (No. 166, hexagonal axes)
Unique sites:
Sc 0.0000 0.0000 0.0000
Ag 0.0000 0.0000 0.2539
Sb 0.0000 0.0000 0.5000

- formation energy (no corrections) (eV per atom) = 0.01
- total moment (μB/atom) = 0.00

---

ScAg3Sb | meta-GGA SCAN | PBEsol geometry

Lattice parameters (Å, degrees): 4.9899 4.9899 4.9899 90.00 90.00 90.00
Space group Pm-3m (No. 221)
Unique sites:
Sc 0.0000 0.0000 0.0000
Ag 0.0000 0.0000 0.5000
Sb 0.5000 0.5000 0.5000

- formation energy (no corrections) (eV per atom) = 0.96
- total moment (μB/atom) = 0.00

---

ScAg2Sb | meta-GGA SCAN | PBEsol geometry

Lattice parameters (Å, degrees): 9.1195 3.3418 5.3997 90.00 100.87 90.00
Space group Cm (No. 8)
Unique sites:
Sc 0.0000 0.0000 0.0000
Ag 0.0108 0.5000 0.5437
Ag 0.2556 0.0000 0.7541
Sb 0.2540 0.5000 0.2684

- formation energy (no corrections) (eV per atom) = -0.16
- total moment (μB/atom) = 0.00

---

ScAg2Sb | meta-GGA SCAN | PBEsol geometry

Lattice parameters (Å, degrees): 4.0743 4.0743 4.6676 90.00 90.00 90.00
Space group P4/mmm (No. 123)
Unique sites:
Sc 0.0000 0.0000 0.0000
Ag 0.0000 0.5000 0.5000
Sb 0.5000 0.5000 0.0000

- formation energy (no corrections) (eV per atom) = -0.40
- total moment (μB/atom) = 0.00

---

AgSbSe | meta-GGA SCAN | PBEsol geometry

Lattice parameters (Å, degrees): 5.1475 5.1475 2.9218 90.00 90.00 120.00
Space group P-6m2 (No. 187)
Unique sites:
Ag 0.0000 0.0000 0.0000
Sb 0.3333 0.6667 0.0000
Se 0.6667 0.3333 0.0000

- formation energy (no corrections) (eV per atom) = 0.23
- total moment (μB/atom) = 0.00

---

AgSb2TeSe | meta-GGA SCAN | PBEsol geometry

Lattice parameters (Å, degrees): 5.2846 5.2846 5.1923 90.00 90.00 90.00
Space group P4/mmm (No. 123)
Unique sites:
Ag 0.0000 0.0000 0.0000
Sb 0.0000 0.5000 0.0000
Te 0.0000 0.0000 0.5000
Se 0.5000 0.5000 0.5000

- formation energy (no corrections) (eV per atom) = 0.78
- total moment (μB/atom) = 0.00

---

no.,VASP energy (eV/atom)
1,-32.747
2,-32.812
3,-32.763
4,-36.201
5,-35.529
6,-27.945
7,-28.549
8,-28.162
9,-28.717
10,-28.959
11,-29.343
12,-31.863